# 1
Compound: YOsAu2
Source: Alexandria via LeMat-Bulk
Functional: PBE
Structure: relaxed

a b c (Å): 5.242 5.242 4.183
angles (deg): 66.48 66.48 47.01
Atoms (fractional coordinates):
Os 0.500 0.500 0.500
Y 0.250 0.250 0.250
Au 0.000 0.000 0.000
Au 0.750 0.750 0.750

Total energy (eV/atom): -6.099
Calculated formation energy (kJ/mol of atoms): -3.5
DOS at the Fermi energy (states/eV per cell): 3.10
Crystal system: tetragonal
Distance to the lowest polymorph of the same formula (kJ/mol of atoms): 9.7

***

# 2
Compound: La2RhCl
Source: Alexandria via LeMat-Bulk
Functional: PBE
Structure: relaxed

a b c (Å): 5.424 5.424 3.553
angles (deg): 78.29 78.29 92.41
Atoms (fractional coordinates):
Cl 0.000 0.500 0.500
Rh 0.500 0.000 0.500
La 0.000 0.000 0.000
La 0.500 0.500 0.000

Total energy (eV/atom): -5.710
DOS at the Fermi energy (states/eV per cell): 4.11
Crystal system: monoclinic
E_form (uncorrected) (meV/atom): -947
Distance to the lowest polymorph of the same formula (kJ/mol of atoms): 32.7

***

# 3
Compound: TaAsCl
Source: Alexandria via LeMat-Bulk
Functional: PBE
Structure: relaxed

a b c (Å): 4.454 4.454 3.057
angles (deg): 90.00 90.00 120.00
Atoms (fractional coordinates):
Ta 0.667 0.333 0.500
Cl 0.333 0.667 0.500
As 0.000 0.000 0.000

Total energy (eV/atom): -6.083
DOS at the Fermi energy (states/eV per cell): 1.94
Crystal system: hexagonal
E_form (uncorrected) (meV/atom): 33
Distance to the lowest polymorph of the same formula (kJ/mol of atoms): 42.8

***

# 4
Compound: La5Sm4Ho
Source: Alexandria via LeMat-Bulk
Functional: PBE
Structure: relaxed

a b c (Å): 3.714 3.714 25.527
angles (deg): 90.00 90.00 90.00
Atoms (fractional coordinates):
La 0.500 0.500 0.098
Sm 0.000 0.000 0.198
La 0.500 0.500 0.902
Ho 0.000 0.000 0.000
La 0.500 0.500 0.500
Sm 0.000 0.000 0.802
Sm 0.000 0.000 0.601
La 0.500 0.500 0.299
La 0.500 0.500 0.701
Sm 0.000 0.000 0.399

Total energy (eV/atom): -4.788
Calculated formation energy (kJ/mol of atoms): 2.0
DOS at the Fermi energy (states/eV per cell): 17.89
Crystal system: tetragonal